[1]
Entry from Alexandria: a relaxed BaPHPt2 crystal (PBE).

SG: P4/mmm, No. 123
Offset from the most stable computed form: 252 meV/atom

a b c (Å): 4.1773 5.1393 4.1773
angles (deg): 90.00 90.00 90.00
Sites, in units of the cell vectors:
Pt 0.5000 0.0000 0.0000
Pt 0.0000 0.0000 0.5000
Ba 0.0000 0.5000 0.0000
P 0.5000 0.5000 0.5000
H 0.0000 0.0000 0.0000


[2]
Entry from Alexandria: a relaxed BaPH2Rh2 crystal (PBE).

SG: P2_1/m, No. 11
VASP energy: -32.090 eV per formula unit

a b c (Å): 5.5505 6.3794 6.4024
angles (deg): 101.91 90.00 90.00
Sites, in units of the cell vectors:
H 0.7500 0.3510 0.2699
H 0.7500 0.7345 0.6464
H 0.2500 0.6490 0.7301
H 0.2500 0.2655 0.3536
Ba 0.2500 0.6962 0.3020
Ba 0.7500 0.3038 0.6980
Rh 0.0000 0.8225 0.8203
Rh 0.5000 0.8225 0.8203
Rh 0.0000 0.1775 0.1797
Rh 0.5000 0.1775 0.1797
P 0.7500 0.8849 0.1118
P 0.2500 0.1151 0.8882


[3]
Entry from Alexandria: a relaxed BaPHRh crystal (PBE).

SG: P4/nmm, No. 129
VASP energy: -21.185 eV per formula unit

a b c (Å): 4.0956 4.0956 9.3676
angles (deg): 90.00 90.00 90.00
Site moments in Bohr magnetons follow the coordinates.
Sites, in units of the cell vectors:
P 0.0000 0.5000 0.8709  0.01
P 0.5000 0.0000 0.1291  0.01
Rh 0.5000 0.5000 0.0000  0.07
Rh 0.0000 0.0000 0.0000  0.07
Ba 0.0000 0.5000 0.3282  0.00
Ba 0.5000 0.0000 0.6718  0.00
H 0.0000 0.0000 0.5000  0.00
H 0.5000 0.5000 0.5000  0.00


Number 1: mass density 10.4 Mg/m³, magnetic moment 0.00 μB per atom. Number 2: mass density 5.6 Mg/m³, magnetic moment 0.00 μB per atom. Number 3: mass density 5.8 Mg/m³, magnetic moment 0.02 μB per atom.